Compound: Sr2TaTe
Source: Alexandria
Functional: SCAN
Structure: single point on PBEsol structure

Excess energy over the best structure of this formula in the dataset = 40 meV/atom

CIF file:
```
data_Sr2TaTe
_symmetry_space_group_name_H-M 'P 4/m m m'
_symmetry_Int_Tables_number 123
_symmetry_space_group_name_Hall '-P 4 2'
_cell_length_a 3.4510
_cell_length_b 3.4510
_cell_length_c 9.6863
_cell_angle_alpha 90.00
_cell_angle_beta 90.00
_cell_angle_gamma 90.00
loop_
_atom_site_label
_atom_site_type_symbol
_atom_site_fract_x
_atom_site_fract_y
_atom_site_fract_z
_atom_site_occupancy
Sr1 Sr 0.0000 0.0000 0.2446 1
Ta1 Ta 0.5000 0.5000 0.5000 1
Te1 Te 0.5000 0.5000 0.0000 1
```



Compound: Na2AgS2
Source: Alexandria
Functional: SCAN
Structure: single point on PBEsol structure

CIF file:
```
data_Na2AgS2
_symmetry_space_group_name_H-M 'P 4/m b m'
_symmetry_Int_Tables_number 127
_symmetry_space_group_name_Hall '-P 4 2ab'
_cell_length_a 6.8681
_cell_length_b 6.8681
_cell_length_c 4.0825
_cell_angle_alpha 90.00
_cell_angle_beta 90.00
_cell_angle_gamma 90.00
loop_
_atom_site_label
_atom_site_type_symbol
_atom_site_fract_x
_atom_site_fract_y
_atom_site_fract_z
_atom_site_occupancy
Na1 Na 0.1430 0.3570 0.0000 1
Ag1 Ag 0.0000 0.0000 0.5000 1
S1 S 0.1693 0.6693 0.5000 1
```



Compound: MgReAs2Pt
Source: Alexandria
Functional: SCAN
Structure: single point on PBEsol structure

Calculated formation energy = 1.59 eV per atom

CIF file:
```
data_MgReAs2Pt
_symmetry_space_group_name_H-M 'P 4/m m m'
_symmetry_Int_Tables_number 123
_symmetry_space_group_name_Hall '-P 4 2'
_cell_length_a 4.6671
_cell_length_b 4.6671
_cell_length_c 4.5667
_cell_angle_alpha 90.00
_cell_angle_beta 90.00
_cell_angle_gamma 90.00
loop_
_atom_site_label
_atom_site_type_symbol
_atom_site_fract_x
_atom_site_fract_y
_atom_site_fract_z
_atom_site_occupancy
Mg1 Mg 0.0000 0.0000 0.0000 1
Re1 Re 0.5000 0.5000 0.5000 1
As1 As 0.0000 0.5000 0.0000 1
Pt1 Pt 0.0000 0.0000 0.5000 1
```



Compound: NaPt
Source: Alexandria
Functional: SCAN
Structure: single point on PBEsol structure

Calculated formation energy = -0.25 eV per atom

CIF file:
```
data_NaPt
_symmetry_space_group_name_H-M 'P -6 m 2'
_symmetry_Int_Tables_number 187
_symmetry_space_group_name_Hall 'P -6 2'
_cell_length_a 2.7839
_cell_length_b 2.7839
_cell_length_c 4.8699
_cell_angle_alpha 90.00
_cell_angle_beta 90.00
_cell_angle_gamma 120.00
loop_
_atom_site_label
_atom_site_type_symbol
_atom_site_fract_x
_atom_site_fract_y
_atom_site_fract_z
_atom_site_occupancy
Na1 Na 0.0000 0.0000 0.0000 1
Pt1 Pt 0.6667 0.3333 0.5000 1
```



The evaluated magnetic moment for the records listed, in turn: 0.00 0.00 0.67 0.00 μB per atom.
The evaluated raw total energy for the records listed, in turn: -147.439 -125.197 -178.703 -74.908 eV/cell.